1.
Compound: La2Nd
Source: the Open Quantum Materials Database
Functional: PBE
Structure: optimized geometry

Values from the calculation:
- energy (eV per cell) = -75.32

a = 12.961 Å, b = 12.961 Å, c = 12.961 Å
α = 90.00°, β = 90.00°, γ = 90.00°
Space group Fd-3m (No. 227, origin choice 2)
Inequivalent atoms, fractional coordinates:
La (0.000, 0.000, 0.000) [16 per cell]
Nd (0.125, 0.125, 0.125) [8 per cell]



2.
Compound: SmGdTc
Source: the Open Quantum Materials Database
Functional: PBE
Structure: optimized geometry

Values from the calculation:
- energy (eV per cell) = -67.74

a = 6.787 Å, b = 6.787 Å, c = 6.787 Å
α = 90.00°, β = 90.00°, γ = 90.00°
Space group F-43m (No. 216)
Inequivalent atoms, fractional coordinates:
Sm (0.000, 0.000, 0.000) [4 per cell]
Gd (0.250, 0.250, 0.250) [4 per cell]
Tc (0.000, 0.000, 0.500) [4 per cell]



- What is the formula in the first record?
  La2Nd



- Among the records above, which one has the lowest energy?
  La2Nd



- Look up the energy of the second one.
  -67.74 eV per cell



- The highest energy belongs to which entry?
  SmGdTc